# PrGdSi2I2 (GGA-PBE, optimized geometry)
# Size of the total moment in μB per formula unit: 0.01
# Symmetry: No. 156
# Energy in eV/atom: -4.950
data_PrGdSi2I2
_chemical_formula_sum 'Pr1 Gd1 Si2 I2'
_space_group_name_H-M_alt 'P 1'
_space_group_IT_number 1
_space_group_name_Hall 'P 1'
_cell_length_a 4.1722
_cell_length_b 4.1722
_cell_length_c 12.4755
_cell_angle_alpha 90.00
_cell_angle_beta 90.00
_cell_angle_gamma 120.00
loop_
_atom_site_label
_atom_site_type_symbol
_atom_site_fract_x
_atom_site_fract_y
_atom_site_fract_z
Pr1 Pr 0.0000 0.0000 0.0000
Gd1 Gd 0.0000 0.0000 0.3143
Si1 Si 0.3333 0.6667 0.1680
Si2 Si 0.6667 0.3333 0.1562
I1 I 0.3333 0.6667 0.8259
I2 I 0.6667 0.3333 0.4792

***

# RbGdI3 (GGA-PBE, optimized geometry)
# Size of the total moment in μB per formula unit: 1.00
# Symmetry: No. 62
# Energy in eV/atom: -3.373
data_RbGdI3
_chemical_formula_sum 'Rb4 Gd4 I12'
_space_group_name_H-M_alt 'P 1'
_space_group_IT_number 1
_space_group_name_Hall 'P 1'
_cell_length_a 10.3660
_cell_length_b 4.3600
_cell_length_c 18.0864
_cell_angle_alpha 90.00
_cell_angle_beta 90.00
_cell_angle_gamma 90.00
loop_
_atom_site_label
_atom_site_type_symbol
_atom_site_fract_x
_atom_site_fract_y
_atom_site_fract_z
Rb1 Rb 0.0741 0.2500 0.1753
Rb2 Rb 0.4259 0.7500 0.6753
Rb3 Rb 0.5741 0.2500 0.3247
Rb4 Rb 0.9259 0.7500 0.8247
Gd1 Gd 0.1277 0.7500 0.4570
Gd2 Gd 0.3723 0.2500 0.9570
Gd3 Gd 0.6277 0.7500 0.0430
Gd4 Gd 0.8723 0.2500 0.5430
I1 I 0.0454 0.7500 0.6238
I2 I 0.1702 0.7500 0.0071
I3 I 0.2225 0.2500 0.8050
I4 I 0.2775 0.7500 0.3050
I5 I 0.3298 0.2500 0.5071
I6 I 0.4546 0.2500 0.1238
I7 I 0.5454 0.7500 0.8762
I8 I 0.6702 0.7500 0.4929
I9 I 0.7225 0.2500 0.6950
I10 I 0.7775 0.7500 0.1950
I11 I 0.8298 0.2500 0.9929
I12 I 0.9546 0.2500 0.3762

***

# RbGdI3 (GGA-PBE, optimized geometry)
# Size of the total moment in μB per formula unit: 1.00
# Symmetry: No. 19
# Energy in eV/atom: -3.373
data_RbGdI3
_chemical_formula_sum 'Rb4 Gd4 I12'
_space_group_name_H-M_alt 'P 1'
_space_group_IT_number 1
_space_group_name_Hall 'P 1'
_cell_length_a 4.3643
_cell_length_b 10.3549
_cell_length_c 18.0880
_cell_angle_alpha 90.00
_cell_angle_beta 90.00
_cell_angle_gamma 90.00
loop_
_atom_site_label
_atom_site_type_symbol
_atom_site_fract_x
_atom_site_fract_y
_atom_site_fract_z
Rb1 Rb 0.0000 0.1794 0.1737
Rb2 Rb 0.0000 0.6794 0.3263
Rb3 Rb 0.5000 0.3206 0.8263
Rb4 Rb 0.5000 0.8206 0.6737
Gd1 Gd 0.0016 0.8767 0.9558
Gd2 Gd 0.4984 0.1233 0.4558
Gd3 Gd 0.5016 0.6233 0.0442
Gd4 Gd 0.9984 0.3767 0.5442
I1 I 0.0007 0.0234 0.8031
I2 I 0.0015 0.4202 0.9958
I3 I 0.0019 0.7983 0.1234
I4 I 0.4981 0.2017 0.6234
I5 I 0.4985 0.5798 0.4958
I6 I 0.4993 0.9766 0.3031
I7 I 0.5015 0.0798 0.0042
I8 I 0.5007 0.4766 0.1969
I9 I 0.5019 0.7017 0.8766
I10 I 0.9981 0.2983 0.3766
I11 I 0.9993 0.5234 0.6969
I12 I 0.9985 0.9202 0.5042

***

# GdSI (GGA-PBE, optimized geometry)
# Size of the total moment in μB per formula unit: 0.00
# Symmetry: No. 166
# Energy in eV/atom: -5.243
data_GdSI
_chemical_formula_sum 'Gd2 S2 I2'
_space_group_name_H-M_alt 'P 1'
_space_group_IT_number 1
_space_group_name_Hall 'P 1'
_cell_length_a 11.2867
_cell_length_b 11.2867
_cell_length_c 11.2867
_cell_angle_alpha 23.27
_cell_angle_beta 23.27
_cell_angle_gamma 23.27
loop_
_atom_site_label
_atom_site_type_symbol
_atom_site_fract_x
_atom_site_fract_y
_atom_site_fract_z
Gd1 Gd 0.1133 0.1133 0.1133
Gd2 Gd 0.8867 0.8867 0.8867
S1 S 0.1983 0.1983 0.1983
S2 S 0.8017 0.8017 0.8017
I1 I 0.3864 0.3864 0.3864
I2 I 0.6136 0.6136 0.6136

***

# GdScS2I2 (GGA-PBE, optimized geometry)
# Size of the total moment in μB per formula unit: 0.00
# Symmetry: No. 25
# Energy in eV/atom: -5.425
data_GdScS2I2
_chemical_formula_sum 'Gd1 Sc1 S2 I2'
_space_group_name_H-M_alt 'P 1'
_space_group_IT_number 1
_space_group_name_Hall 'P 1'
_cell_length_a 4.0680
_cell_length_b 5.2536
_cell_length_c 9.5815
_cell_angle_alpha 90.00
_cell_angle_beta 90.00
_cell_angle_gamma 90.00
loop_
_atom_site_label
_atom_site_type_symbol
_atom_site_fract_x
_atom_site_fract_y
_atom_site_fract_z
Gd1 Gd 0.0000 0.0000 0.0000
Sc1 Sc 0.5000 0.5000 0.7689
S1 S 0.0000 0.5000 0.9382
S2 S 0.5000 0.0000 0.8061
I1 I 0.0000 0.5000 0.5502
I2 I 0.5000 0.0000 0.2397

***

# GdSbI6 (GGA-PBE, optimized geometry)
# Size of the total moment in μB per formula unit: 0.00
# Symmetry: No. 5
# Energy in eV/atom: -3.134
data_GdSbI6
_chemical_formula_sum 'Gd1 Sb1 I6'
_space_group_name_H-M_alt 'P 1'
_space_group_IT_number 1
_space_group_name_Hall 'P 1'
_cell_length_a 7.6799
_cell_length_b 7.6799
_cell_length_c 7.6642
_cell_angle_alpha 99.36
_cell_angle_beta 99.36
_cell_angle_gamma 120.05
loop_
_atom_site_label
_atom_site_type_symbol
_atom_site_fract_x
_atom_site_fract_y
_atom_site_fract_z
Gd1 Gd 0.0000 0.0000 0.0000
Sb1 Sb 0.3327 0.6673 0.0000
I1 I 0.0954 0.4136 0.2421
I2 I 0.2392 0.2576 0.7576
I3 I 0.3938 0.0597 0.2477
I4 I 0.5864 0.9046 0.7579
I5 I 0.7424 0.7608 0.2424
I6 I 0.9403 0.6062 0.7523

***

# GdSnSbI2 (GGA-PBE, optimized geometry)
# Size of the total moment in μB per formula unit: 0.00
# Symmetry: No. 156
# Energy in eV/atom: -3.958
data_GdSnSbI2
_chemical_formula_sum 'Gd1 Sn1 Sb1 I2'
_space_group_name_H-M_alt 'P 1'
_space_group_IT_number 1
_space_group_name_Hall 'P 1'
_cell_length_a 4.4264
_cell_length_b 4.4264
_cell_length_c 11.5403
_cell_angle_alpha 90.00
_cell_angle_beta 90.00
_cell_angle_gamma 120.00
loop_
_atom_site_label
_atom_site_type_symbol
_atom_site_fract_x
_atom_site_fract_y
_atom_site_fract_z
Gd1 Gd 0.0000 0.0000 0.0000
Sn1 Sn 0.3333 0.6667 0.3116
Sb1 Sb 0.6667 0.3333 0.1494
I1 I 0.0000 0.0000 0.4827
I2 I 0.3333 0.6667 0.8324

***

# TbGdSbI2 (GGA-PBE, optimized geometry)
# Size of the total moment in μB per formula unit: 0.00
# Symmetry: No. 156
# Energy in eV/atom: -4.586
data_TbGdSbI2
_chemical_formula_sum 'Tb1 Gd1 Sb1 I2'
_space_group_name_H-M_alt 'P 1'
_space_group_IT_number 1
_space_group_name_Hall 'P 1'
_cell_length_a 4.3562
_cell_length_b 4.3562
_cell_length_c 11.2561
_cell_angle_alpha 90.00
_cell_angle_beta 90.00
_cell_angle_gamma 120.00
loop_
_atom_site_label
_atom_site_type_symbol
_atom_site_fract_x
_atom_site_fract_y
_atom_site_fract_z
Tb1 Tb 0.0000 0.0000 0.0000
Gd1 Gd 0.6667 0.3333 0.6981
Sb1 Sb 0.3333 0.6667 0.8502
I1 I 0.0000 0.0000 0.5240
I2 I 0.6667 0.3333 0.1735

***

# GdTmSbI2 (GGA-PBE, optimized geometry)
# Size of the total moment in μB per formula unit: 0.00
# Symmetry: No. 156
# Energy in eV/atom: -4.512
data_GdTmSbI2
_chemical_formula_sum 'Gd1 Tm1 Sb1 I2'
_space_group_name_H-M_alt 'P 1'
_space_group_IT_number 1
_space_group_name_Hall 'P 1'
_cell_length_a 4.3263
_cell_length_b 4.3263
_cell_length_c 11.1737
_cell_angle_alpha 90.00
_cell_angle_beta 90.00
_cell_angle_gamma 120.00
loop_
_atom_site_label
_atom_site_type_symbol
_atom_site_fract_x
_atom_site_fract_y
_atom_site_fract_z
Gd1 Gd 0.0000 0.0000 0.0000
Tm1 Tm 0.3333 0.6667 0.3013
Sb1 Sb 0.6667 0.3333 0.1556
I1 I 0.0000 0.0000 0.4723
I2 I 0.3333 0.6667 0.8232

***

# GdYSbI2 (GGA-PBE, optimized geometry)
# Size of the total moment in μB per formula unit: 0.00
# Symmetry: No. 156
# Energy in eV/atom: -4.958
data_GdYSbI2
_chemical_formula_sum 'Gd1 Y1 Sb1 I2'
_space_group_name_H-M_alt 'P 1'
_space_group_IT_number 1
_space_group_name_Hall 'P 1'
_cell_length_a 4.3569
_cell_length_b 4.3569
_cell_length_c 11.2567
_cell_angle_alpha 90.00
_cell_angle_beta 90.00
_cell_angle_gamma 120.00
loop_
_atom_site_label
_atom_site_type_symbol
_atom_site_fract_x
_atom_site_fract_y
_atom_site_fract_z
Gd1 Gd 0.0000 0.0000 0.0000
Y1 Y 0.3333 0.6667 0.3017
Sb1 Sb 0.6667 0.3333 0.1526
I1 I 0.0000 0.0000 0.4750
I2 I 0.3333 0.6667 0.8260

***

# SmGdSi2I2 (GGA-PBE, optimized geometry)
# Size of the total moment in μB per formula unit: 0.00
# Symmetry: No. 156
# Energy in eV/atom: -4.935
data_SmGdSi2I2
_chemical_formula_sum 'Sm1 Gd1 Si2 I2'
_space_group_name_H-M_alt 'P 1'
_space_group_IT_number 1
_space_group_name_Hall 'P 1'
_cell_length_a 4.1507
_cell_length_b 4.1507
_cell_length_c 12.3085
_cell_angle_alpha 90.00
_cell_angle_beta 90.00
_cell_angle_gamma 120.00
loop_
_atom_site_label
_atom_site_type_symbol
_atom_site_fract_x
_atom_site_fract_y
_atom_site_fract_z
Sm1 Sm 0.0000 0.0000 0.0000
Gd1 Gd 0.0000 0.0000 0.3130
Si1 Si 0.3333 0.6667 0.1648
Si2 Si 0.6667 0.3333 0.1520
I1 I 0.3333 0.6667 0.8288
I2 I 0.6667 0.3333 0.4807

***

# GdYSi2I2 (GGA-PBE, optimized geometry)
# Size of the total moment in μB per formula unit: 0.00
# Symmetry: No. 156
# Energy in eV/atom: -5.212
data_GdYSi2I2
_chemical_formula_sum 'Gd1 Y1 Si2 I2'
_space_group_name_H-M_alt 'P 1'
_space_group_IT_number 1
_space_group_name_Hall 'P 1'
_cell_length_a 4.1336
_cell_length_b 4.1336
_cell_length_c 12.1458
_cell_angle_alpha 90.00
_cell_angle_beta 90.00
_cell_angle_gamma 120.00
loop_
_atom_site_label
_atom_site_type_symbol
_atom_site_fract_x
_atom_site_fract_y
_atom_site_fract_z
Gd1 Gd 0.0000 0.0000 0.0000
Y1 Y 0.0000 0.0000 0.6885
Si1 Si 0.3333 0.6667 0.8500
Si2 Si 0.6667 0.3333 0.8360
I1 I 0.3333 0.6667 0.5194
I2 I 0.6667 0.3333 0.1702

***

# SmGdI3 (GGA-PBE, optimized geometry)
# Size of the total moment in μB per formula unit: 0.00
# Symmetry: No. 12
# Energy in eV/atom: -3.913
data_SmGdI3
_chemical_formula_sum 'Sm2 Gd2 I6'
_space_group_name_H-M_alt 'P 1'
_space_group_IT_number 1
_space_group_name_Hall 'P 1'
_cell_length_a 9.7378
_cell_length_b 9.7378
_cell_length_c 11.9926
_cell_angle_alpha 121.88
_cell_angle_beta 121.88
_cell_angle_gamma 24.44
loop_
_atom_site_label
_atom_site_type_symbol
_atom_site_fract_x
_atom_site_fract_y
_atom_site_fract_z
Sm1 Sm 0.1320 0.1320 0.2790
Sm2 Sm 0.8680 0.8680 0.7210
Gd1 Gd 0.4291 0.4291 0.0426
Gd2 Gd 0.5709 0.5709 0.9574
I1 I 0.0409 0.0409 0.7384
I2 I 0.2178 0.2178 0.1184
I3 I 0.3373 0.3373 0.4922
I4 I 0.6627 0.6627 0.5078
I5 I 0.7822 0.7822 0.8816
I6 I 0.9591 0.9591 0.2616

***

# GdSnI4 (GGA-PBE, optimized geometry)
# Size of the total moment in μB per formula unit: 0.04
# Symmetry: No. 12
# Energy in eV/atom: -3.322
data_GdSnI4
_chemical_formula_sum 'Gd1 Sn1 I4'
_space_group_name_H-M_alt 'P 1'
_space_group_IT_number 1
_space_group_name_Hall 'P 1'
_cell_length_a 8.6837
_cell_length_b 8.6837
_cell_length_c 8.3396
_cell_angle_alpha 111.76
_cell_angle_beta 111.76
_cell_angle_gamma 27.19
loop_
_atom_site_label
_atom_site_type_symbol
_atom_site_fract_x
_atom_site_fract_y
_atom_site_fract_z
Gd1 Gd 0.0000 0.0000 0.0000
Sn1 Sn 0.5000 0.5000 0.5000
I1 I 0.1283 0.1283 0.8234
I2 I 0.3843 0.3843 0.7292
I3 I 0.6157 0.6157 0.2708
I4 I 0.8717 0.8717 0.1766

***

# GdTlI4 (GGA-PBE, optimized geometry)
# Size of the total moment in μB per formula unit: 0.00
# Symmetry: No. 2
# Energy in eV/atom: -3.325
data_GdTlI4
_chemical_formula_sum 'Gd2 Tl2 I8'
_space_group_name_H-M_alt 'P 1'
_space_group_IT_number 1
_space_group_name_Hall 'P 1'
_cell_length_a 7.5036
_cell_length_b 7.8778
_cell_length_c 8.5727
_cell_angle_alpha 88.93
_cell_angle_beta 89.73
_cell_angle_gamma 79.21
loop_
_atom_site_label
_atom_site_type_symbol
_atom_site_fract_x
_atom_site_fract_y
_atom_site_fract_z
Gd1 Gd 0.2010 0.1966 0.4433
Gd2 Gd 0.7990 0.8034 0.5567
Tl1 Tl 0.2219 0.6820 0.0535
Tl2 Tl 0.7781 0.3180 0.9465
I1 I 0.0706 0.9969 0.7301
I2 I 0.1035 0.4965 0.6947
I3 I 0.3666 0.2508 0.1262
I4 I 0.4297 0.8065 0.3994
I5 I 0.5703 0.1935 0.6006
I6 I 0.6334 0.7492 0.8738
I7 I 0.8965 0.5035 0.3053
I8 I 0.9294 0.0031 0.2699

***

# GdTlI6 (GGA-PBE, optimized geometry)
# Size of the total moment in μB per formula unit: 0.30
# Symmetry: No. 148
# Energy in eV/atom: -2.710
data_GdTlI6
_chemical_formula_sum 'Gd1 Tl1 I6'
_space_group_name_H-M_alt 'P 1'
_space_group_IT_number 1
_space_group_name_Hall 'P 1'
_cell_length_a 7.2875
_cell_length_b 7.2875
_cell_length_c 7.2875
_cell_angle_alpha 103.32
_cell_angle_beta 103.32
_cell_angle_gamma 103.32
loop_
_atom_site_label
_atom_site_type_symbol
_atom_site_fract_x
_atom_site_fract_y
_atom_site_fract_z
Gd1 Gd 0.0000 0.0000 0.0000
Tl1 Tl 0.5000 0.5000 0.5000
I1 I 0.0024 0.5898 0.7815
I2 I 0.2185 0.9976 0.4102
I3 I 0.4102 0.2185 0.9976
I4 I 0.5898 0.7815 0.0024
I5 I 0.7815 0.0024 0.5898
I6 I 0.9976 0.4102 0.2185

***

# GdYI6 (GGA-PBE, optimized geometry)
# Size of the total moment in μB per formula unit: 0.00
# Symmetry: No. 5
# Energy in eV/atom: -3.966
data_GdYI6
_chemical_formula_sum 'Gd1 Y1 I6'
_space_group_name_H-M_alt 'P 1'
_space_group_IT_number 1
_space_group_name_Hall 'P 1'
_cell_length_a 7.7041
_cell_length_b 7.7041
_cell_length_c 7.7674
_cell_angle_alpha 99.33
_cell_angle_beta 99.33
_cell_angle_gamma 120.03
loop_
_atom_site_label
_atom_site_type_symbol
_atom_site_fract_x
_atom_site_fract_y
_atom_site_fract_z
Gd1 Gd 0.0000 0.0000 0.0000
Y1 Y 0.3322 0.6678 0.0000
I1 I 0.0967 0.4131 0.2395
I2 I 0.2372 0.2584 0.7603
I3 I 0.3903 0.0563 0.2441
I4 I 0.5869 0.9033 0.7605
I5 I 0.7416 0.7628 0.2397
I6 I 0.9437 0.6097 0.7559

***

# Gd2In (GGA-PBE, optimized geometry)
# Size of the total moment in μB per formula unit: 0.00
# Symmetry: No. 227
# Energy in eV/atom: -3.889
data_Gd2In
_chemical_formula_sum 'Gd4 In2'
_space_group_name_H-M_alt 'P 1'
_space_group_IT_number 1
_space_group_name_Hall 'P 1'
_cell_length_a 6.3137
_cell_length_b 6.3137
_cell_length_c 6.3137
_cell_angle_alpha 60.00
_cell_angle_beta 60.00
_cell_angle_gamma 60.00
loop_
_atom_site_label
_atom_site_type_symbol
_atom_site_fract_x
_atom_site_fract_y
_atom_site_fract_z
Gd1 Gd 0.0000 0.0000 0.0000
Gd2 Gd 0.0000 0.0000 0.5000
Gd3 Gd 0.0000 0.5000 0.0000
Gd4 Gd 0.5000 0.0000 0.0000
In1 In 0.3750 0.3750 0.3750
In2 In 0.6250 0.6250 0.6250

***

# Gd3In5 (GGA-PBE, optimized geometry)
# Size of the total moment in μB per formula unit: 0.01
# Symmetry: No. 63
# Energy in eV/atom: -3.947
data_Gd3In5
_chemical_formula_sum 'Gd6 In10'
_space_group_name_H-M_alt 'P 1'
_space_group_IT_number 1
_space_group_name_Hall 'P 1'
_cell_length_a 6.4168
_cell_length_b 6.4168
_cell_length_c 10.4085
_cell_angle_alpha 90.00
_cell_angle_beta 90.00
_cell_angle_gamma 78.16
loop_
_atom_site_label
_atom_site_type_symbol
_atom_site_fract_x
_atom_site_fract_y
_atom_site_fract_z
Gd1 Gd 0.1219 0.8781 0.7500
Gd2 Gd 0.2959 0.2959 0.0000
Gd3 Gd 0.2959 0.2959 0.5000
Gd4 Gd 0.7041 0.7041 0.0000
Gd5 Gd 0.7041 0.7041 0.5000
Gd6 Gd 0.8781 0.1219 0.2500
In1 In 0.0071 0.4264 0.7500
In2 In 0.1923 0.8077 0.0451
In3 In 0.1923 0.8077 0.4549
In4 In 0.4264 0.0071 0.2500
In5 In 0.4930 0.5070 0.2500
In6 In 0.5070 0.4930 0.7500
In7 In 0.5736 0.9929 0.7500
In8 In 0.8077 0.1923 0.5451
In9 In 0.8077 0.1923 0.9549
In10 In 0.9929 0.5736 0.2500

***

# Gd2In (GGA-PBE, optimized geometry)
# Size of the total moment in μB per formula unit: 0.00
# Symmetry: No. 227
# Energy in eV/atom: -2.529
data_Gd2In
_chemical_formula_sum 'Gd4 In2'
_space_group_name_H-M_alt 'P 1'
_space_group_IT_number 1
_space_group_name_Hall 'P 1'
_cell_length_a 9.3973
_cell_length_b 9.3973
_cell_length_c 9.3973
_cell_angle_alpha 60.00
_cell_angle_beta 60.00
_cell_angle_gamma 60.00
loop_
_atom_site_label
_atom_site_type_symbol
_atom_site_fract_x
_atom_site_fract_y
_atom_site_fract_z
Gd1 Gd 0.0000 0.0000 0.0000
Gd2 Gd 0.0000 0.0000 0.5000
Gd3 Gd 0.0000 0.5000 0.0000
Gd4 Gd 0.5000 0.0000 0.0000
In1 In 0.1250 0.1250 0.1250
In2 In 0.8750 0.8750 0.8750